1.
The following is a SCAN calculation of a crystal of NiPbW2 relaxed with PBEsol, from Alexandria via LeMat-Bulk.

Properties
D(E_F) = 2.65 states/eV/f.u.
E_tot = -57.035 eV per atom
E_form = 3.190 eV/f.u.
total magnetization = 0.00 μB per atom
space group = I-4m2

a = 4.0374 Å, b = 4.0374 Å, c = 4.8464 Å
α = 114.62°, β = 114.62°, γ = 90.00°
Closest atoms and distances in Å follow each position.
Positions (direct):
Ni1 0.5000 0.5000 0.0000  4 Pb 2.81, 8 W 2.81-2.85
W1 0.0000 0.0000 0.0000  4 Pb 2.81, 4 W 2.81, 4 Ni 2.85
W2 0.7500 0.2500 0.5000  4 W 2.81, 4 Ni 2.81, 4 Pb 2.85
Pb1 0.2500 0.7500 0.5000  8 W 2.81-2.85, 4 Ni 2.81



2.
The following is a SCAN calculation of a crystal of NiPbW3 relaxed with PBEsol, from Alexandria via LeMat-Bulk.

Properties
D(E_F) = 5.43 states/eV/f.u.
E_tot = -56.450 eV per atom
E_form = 18.771 eV/f.u.
total magnetization = 0.18 μB per atom
space group = Pm-3m

a = 4.8929 Å, b = 4.8929 Å, c = 4.8929 Å
α = 90.00°, β = 90.00°, γ = 90.00°
Closest atoms and distances in Å follow each position.
Positions (direct):
Pb1 0.0000 0.0000 0.0000  6 W 2.45
W1 0.0000 0.5000 0.0000  2 Pb 2.45
W2 0.0000 0.0000 0.5000  2 Pb 2.45
W3 0.5000 0.0000 0.0000  2 Pb 2.45
Ni1 0.5000 0.5000 0.5000  12 W 3.46



3.
The following is a SCAN calculation of a crystal of NiPbW2 relaxed with PBEsol, from Alexandria via LeMat-Bulk.

Properties
D(E_F) = 2.30 states/eV/f.u.
E_tot = -57.055 eV per atom
E_form = 3.109 eV/f.u.
total magnetization = 0.00 μB per atom
space group = Pmmm

a = 2.8021 Å, b = 3.3700 Å, c = 7.1352 Å
α = 90.00°, β = 90.00°, γ = 90.00°
Closest atoms and distances in Å follow each position.
Positions (direct):
W1 0.0000 0.0000 0.8163  4 Ni 2.55, 3 W 2.62-2.80
W2 0.0000 0.0000 0.1837  4 Ni 2.55, 3 W 2.62-2.80
Pb1 0.5000 0.5000 0.5000  2 Pb 2.80
Ni1 0.5000 0.5000 0.0000  8 W 2.55, 2 Ni 2.80



4.
The following is a SCAN calculation of a crystal of YNiPb3 relaxed with PBEsol, from Alexandria via LeMat-Bulk.

Properties
D(E_F) = 9.44 states/eV/f.u.
E_tot = -53.195 eV per atom
E_form = 5.386 eV/f.u.
total magnetization = 0.25 μB per atom
space group = Pm-3m

a = 5.7208 Å, b = 5.7208 Å, c = 5.7208 Å
α = 90.00°, β = 90.00°, γ = 90.00°
Closest atoms and distances in Å follow each position.
Positions (direct):
Ni1 0.5000 0.5000 0.5000  12 Pb 4.05
Pb1 0.0000 0.0000 0.5000  2 Y 2.86
Pb2 0.0000 0.5000 0.0000  2 Y 2.86
Pb3 0.5000 0.0000 0.0000  2 Y 2.86
Y1 0.0000 0.0000 0.0000  6 Pb 2.86



5.
The following is a SCAN calculation of a crystal of YNiPb2 relaxed with PBEsol, from Alexandria via LeMat-Bulk.

Properties
D(E_F) = 2.02 states/eV/f.u.
E_tot = -48.977 eV per atom
E_form = -0.329 eV/f.u.
total magnetization = 0.25 μB per atom
space group = Cmmm
offset from the most stable computed form = 51 meV per atom

a = 3.4162 Å, b = 3.4162 Å, c = 7.5291 Å
α = 90.00°, β = 90.00°, γ = 95.97°
Closest atoms and distances in Å follow each position.
Positions (direct):
Y1 0.5000 0.5000 0.5000  8 Pb 3.18-3.37, 4 Y 3.42
Ni1 0.5000 0.5000 0.0000  8 Pb 2.76-2.98
Pb1 0.0000 0.0000 0.7937  4 Ni 2.76-2.98
Pb2 0.0000 0.0000 0.2063  4 Ni 2.76-2.98



6.
The following is a SCAN calculation of a crystal of YNiPb2 relaxed with PBEsol, from Alexandria via LeMat-Bulk.

Properties
D(E_F) = 2.16 states/eV/f.u.
E_tot = -49.028 eV per atom
E_form = -0.534 eV/f.u.
total magnetization = 0.00 μB per atom
space group = I-4m2
offset from the most stable computed form = 0 meV per atom

a = 4.3404 Å, b = 4.3404 Å, c = 5.6684 Å
α = 112.51°, β = 112.51°, γ = 90.00°
Closest atoms and distances in Å follow each position.
Positions (direct):
Ni1 0.2500 0.7500 0.5000  8 Pb 3.07-3.22, 4 Y 3.22
Pb1 0.0000 0.0000 0.0000  4 Y 3.07, 4 Ni 3.22, 4 Pb 3.22
Pb2 0.7500 0.2500 0.5000  4 Ni 3.07, 4 Pb 3.22, 4 Y 3.22
Y1 0.5000 0.5000 0.0000  8 Pb 3.07-3.22, 4 Ni 3.22



7.
The following is a SCAN calculation of a crystal of YNi2Pb relaxed with PBEsol, from Alexandria via LeMat-Bulk.

Properties
D(E_F) = 2.73 states/eV/f.u.
E_tot = -34.062 eV per atom
E_form = -0.277 eV/f.u.
total magnetization = 0.00 μB per atom
space group = P4/mmm

a = 3.3901 Å, b = 3.3901 Å, c = 6.2184 Å
α = 90.00°, β = 90.00°, γ = 90.00°
Closest atoms and distances in Å follow each position.
Positions (direct):
Pb1 0.5000 0.5000 0.0000  8 Ni 2.86, 2 Y 3.11
Y1 0.5000 0.5000 0.5000  8 Ni 2.86, 2 Pb 3.11
Ni1 0.0000 0.0000 0.7501  4 Pb 2.86, 4 Y 2.86, 2 Ni 3.11
Ni2 0.0000 0.0000 0.2499  4 Pb 2.86, 4 Y 2.86, 2 Ni 3.11



8.
The following is a SCAN calculation of a crystal of YNi4Pb relaxed with PBEsol, from Alexandria via LeMat-Bulk.

Properties
D(E_F) = 5.02 states/eV/f.u.
E_tot = -28.272 eV per atom
E_form = -1.317 eV/f.u.
total magnetization = 0.00 μB per atom
space group = F-43m

a = 4.9621 Å, b = 4.9621 Å, c = 4.9621 Å
α = 60.00°, β = 60.00°, γ = 60.00°
Closest atoms and distances in Å follow each position.
Positions (direct):
Pb1 0.7500 0.7500 0.7500  12 Ni 2.91, 4 Y 3.04
Ni1 0.8747 0.3751 0.3751  6 Ni 2.48
Ni2 0.3751 0.3751 0.8747  6 Ni 2.48
Ni3 0.3751 0.3751 0.3751  6 Ni 2.48
Ni4 0.3751 0.8747 0.3751  6 Ni 2.48
Y1 0.0000 0.0000 0.0000  12 Ni 2.91, 4 Pb 3.04